Entry 1:
The following is a DFT calculation (GGA-PBE) of a relaxed ScBiAs2 crystal.

Unit cell a=6.296 b=6.296 c=13.054 alpha=90.00 beta=90.00 gamma=90.00
Space group I-42d (No. 122)
Asymmetric unit:
Sc 0.000 0.000 0.000 x4
Bi 0.000 0.000 0.500 x4
As 0.218 0.250 0.125 x8

calculated formation energy: -131 kJ/mol of formula units
D(E_F): 0.7 states/eV per cell

=====

Entry 2:
The following is a DFT calculation (GGA-PBE) of a relaxed Na3MnBe crystal.

Unit cell a=5.310 b=5.310 c=5.310 alpha=90.00 beta=90.00 gamma=90.00
Space group Pm-3m (No. 221)
Asymmetric unit:
Na 0.000 0.000 0.500 x3
Mn 0.500 0.500 0.500 x1
Be 0.000 0.000 0.000 x1

calculated formation energy: 485 kJ/mol of formula units
polymorph energy (0 for the lowest one): 0.000 eV/atom
D(E_F): 3.3 states/eV per cell

=====

Entry 3:
The following is a DFT calculation (GGA-PBE) of a relaxed SrHo2CuS4 crystal.

Unit cell a=3.910 b=13.103 c=13.530 alpha=90.00 beta=90.00 gamma=90.00
Space group Cmcm (No. 63)
Asymmetric unit:
Sr 0.000 0.117 0.250 x4
Ho 0.000 0.372 0.059 x8
Cu 0.000 0.153 0.750 x4
S 0.000 0.000 0.000 x4
S 0.000 0.270 0.618 x8
S 0.000 0.443 0.250 x4

raw formation energy: -1.7447 eV/atom
D(E_F): 6.0 states/eV per cell

=====

Entry 4:
The following is a DFT calculation (GGA-PBE) of a relaxed PmMg2MnH8 crystal.

Unit cell a=4.447 b=4.630 c=5.560 alpha=71.44 beta=89.98 gamma=89.97
Space group P-1 (No. 2)
Asymmetric unit:
Pm 0.000 0.000 0.000 x1
Mg 0.500 0.409 0.289 x2
Mn 0.000 0.500 0.500 x1
H 0.001 0.577 0.777 x2
H 0.245 0.226 0.610 x2
H 0.246 0.772 0.389 x2
H 0.500 0.213 0.038 x2

VASP energy: -3.971 eV/atom

=====

Entry 5:
The following is a DFT calculation (GGA-PBE) of a relaxed Li3In3Sn2 crystal.

Unit cell a=17.850 b=4.512 c=4.622 alpha=90.00 beta=101.33 gamma=90.00
Space group C2/m (No. 12)
Asymmetric unit:
Li 0.000 0.000 0.000 x2
Li 0.121 0.000 0.605 x4
In 0.000 0.500 0.500 x2
In 0.118 0.500 0.089 x4
Sn 0.247 0.000 0.259 x4

calculated formation energy: -138 kJ/mol of formula units
polymorph energy (0 for the lowest one): 0.021 eV/atom
D(E_F): 4.8 states/eV per cell

=====

Entry 6:
The following is a DFT calculation (GGA-PBE) of a relaxed Li8Pd2Au3 crystal.

Unit cell a=4.9864 b=4.9864 c=27.7705 alpha=90.00 beta=90.00 gamma=120.00
Space group R-3m (No. 166, hexagonal axes)
Asymmetric unit:
Li 0.0000 0.0000 0.2182 x6
Li 0.9997 0.4998 0.2728 x18
Pd 0.0000 0.0000 0.1342 x6
Au 0.0000 0.0000 0.3129 x6
Au 0.0000 0.0000 0.5000 x3

calculated formation energy: -340 kJ/mol of formula units
D(E_F): 11.3 states/eV per cell

=====

Entry 7:
The following is a DFT calculation (GGA-PBE) of a relaxed Al2TlCr crystal.

Unit cell a=5.619 b=8.197 c=3.234 alpha=90.00 beta=90.00 gamma=90.00
Space group Cmmm (No. 65)
Asymmetric unit:
Al 0.250 0.250 0.000 x4
Tl 0.000 0.000 0.500 x2
Cr 0.000 0.500 0.500 x2

calculated formation energy: 144 kJ/mol of formula units
polymorph energy (0 for the lowest one): 0.207 eV/atom
D(E_F): 4.7 states/eV per cell

=====

Entry 8:
The following is a DFT calculation (GGA-PBE) of a relaxed DyHo2Th5 crystal.

Unit cell a=7.129 b=14.291 c=5.025 alpha=90.00 beta=90.00 gamma=90.00
Space group Pbam (No. 55)
Asymmetric unit:
Dy 0.000 0.000 0.000 x2
Ho 0.250 0.126 0.500 x4
Th 0.000 0.500 0.000 x2
Th 0.001 0.750 0.000 x4
Th 0.245 0.373 0.500 x4

calculated formation energy: 41 kJ/mol of formula units
D(E_F): 25.6 states/eV per cell

=====

Entry 9:
The following is a DFT calculation (GGA-PBE) of a relaxed Ca2TmZn3 crystal.

Unit cell a=3.616 b=3.616 c=10.901 alpha=90.00 beta=90.00 gamma=90.00
Space group P4/mmm (No. 123)
Asymmetric unit:
Ca 0.000 0.000 0.171 x2
Tm 0.000 0.000 0.500 x1
Zn 0.500 0.500 0.000 x1
Zn 0.500 0.500 0.350 x2

calculated formation energy: -160 kJ/mol of formula units
D(E_F): 4.3 states/eV per cell

=====

Entry 10:
The following is a DFT calculation (GGA-PBE) of a relaxed NaTmTl2F6 crystal.

Unit cell a=6.317 b=6.295 c=10.916 alpha=90.00 beta=125.37 gamma=90.00
Space group P2_1/c (No. 14)
Asymmetric unit:
Na 0.000 0.000 0.000 x2
Tm 0.500 0.000 0.500 x2
Tl 0.247 0.010 0.750 x4
F 0.217 0.222 0.473 x4
F 0.254 0.741 0.473 x4
F 0.312 0.005 0.261 x4

raw formation energy: -2.9503 eV/atom
D(E_F): 0.0 states/eV per cell

=====

Entry 11:
The following is a DFT calculation (GGA-PBE) of a relaxed Mn2InPb crystal.

Unit cell a=6.223 b=8.073 c=3.166 alpha=90.00 beta=90.80 gamma=90.00
Space group C2/m (No. 12)
Asymmetric unit:
Mn 0.250 0.250 0.000 x4
In 0.000 0.000 0.500 x2
Pb 0.000 0.500 0.500 x2

calculated formation energy: 159 kJ/mol of formula units
polymorph energy (0 for the lowest one): 0.135 eV/atom
D(E_F): 7.4 states/eV per cell

=====

Entry 12:
The following is a DFT calculation (GGA-PBE) of a relaxed CsLa2Be2O6 crystal.

Unit cell a=11.048 b=6.455 c=6.537 alpha=90.00 beta=119.09 gamma=90.00
Space group C2/m (No. 12)
Asymmetric unit:
Cs 0.000 0.000 0.000 x2
La 0.176 0.500 0.299 x4
Be 0.149 0.500 0.737 x4
O 0.068 0.500 0.871 x4
O 0.201 0.306 0.660 x8

raw formation energy: -2.5689 eV/atom
D(E_F): 11.6 states/eV per cell

=====

Entry 13:
The following is a DFT calculation (GGA-PBE) of a relaxed Al2CuP crystal.

Unit cell a=5.125 b=6.973 c=3.320 alpha=90.00 beta=94.33 gamma=90.00
Space group C2/m (No. 12)
Asymmetric unit:
Al 0.250 0.250 0.000 x4
Cu 0.000 0.000 0.500 x2
P 0.000 0.500 0.500 x2

calculated formation energy: 14 kJ/mol of formula units
D(E_F): 2.2 states/eV per cell

=====

Entry 14:
The following is a DFT calculation (GGA-PBE) of a relaxed Cs3Dy2TlSe6 crystal.

Unit cell a=7.429 b=12.865 c=8.745 alpha=90.00 beta=106.42 gamma=90.00
Space group C2/m (No. 12)
Asymmetric unit:
Cs 0.000 0.000 0.000 x2
Cs 0.000 0.335 0.000 x4
Dy 0.000 0.167 0.500 x4
Tl 0.000 0.500 0.500 x2
Se 0.224 0.000 0.686 x4
Se 0.231 0.331 0.687 x8

raw formation energy: -1.3099 eV/atom

=====

Entry 15:
The following is a DFT calculation (GGA-PBE) of a relaxed Li2MgIn9 crystal.

Unit cell a=4.623 b=4.623 c=13.721 alpha=90.00 beta=90.00 gamma=90.00
Space group P4/mmm (No. 123)
Asymmetric unit:
Li 0.000 0.000 0.163 x2
Mg 0.000 0.000 0.500 x1
In 0.000 0.500 0.000 x2
In 0.000 0.500 0.329 x4
In 0.500 0.500 0.165 x2
In 0.500 0.500 0.500 x1

calculated formation energy: -111 kJ/mol of formula units
D(E_F): 6.3 states/eV per cell

=====

Entry 16:
The following is a DFT calculation (GGA-PBE) of a relaxed YBe3 crystal.

Unit cell a=3.200 b=3.737 c=5.070 alpha=90.00 beta=102.89 gamma=90.00
Space group P2/m (No. 10)
Asymmetric unit:
Y 0.000 0.000 0.000 x1
Be 0.333 0.500 0.655 x2
Be 0.500 0.000 0.500 x1

calculated formation energy: 98 kJ/mol of formula units
polymorph energy (0 for the lowest one): 0.328 eV/atom
D(E_F): 1.7 states/eV per cell